TlBAu3: relaxed, GGA-PBE.

Geometry as CIF:
```
data_TlBAu3
_cell_length_a 4.5515
_cell_length_b 4.5515
_cell_length_c 4.5515
_cell_angle_alpha 90.00
_cell_angle_beta 90.00
_cell_angle_gamma 90.00
_space_group_name_H-M_alt 'P 1'
_space_group_IT_number 1
loop_
_space_group_symop_operation_xyz
'x,y,z'
loop_
_atom_site_label
_atom_site_type_symbol
_atom_site_fract_x
_atom_site_fract_y
_atom_site_fract_z
_atom_site_occupancy
Tl1 Tl 0.0000 0.0000 0.0000 1
B1 B 0.5000 0.5000 0.5000 1
Au1 Au 0.0000 0.5000 0.5000 1
Au2 Au 0.5000 0.0000 0.5000 1
Au3 Au 0.5000 0.5000 0.0000 1
```

Results
N(E_F): 2.96 states/eV/f.u.
Electronic total energy: -3.529 eV/atom
Crystal system: cubic

***

TlB3Au: relaxed, GGA-PBE.

Geometry as CIF:
```
data_TlB3Au
_cell_length_a 4.3311
_cell_length_b 4.3311
_cell_length_c 4.3311
_cell_angle_alpha 90.00
_cell_angle_beta 90.00
_cell_angle_gamma 90.00
_space_group_name_H-M_alt 'P 1'
_space_group_IT_number 1
loop_
_space_group_symop_operation_xyz
'x,y,z'
loop_
_atom_site_label
_atom_site_type_symbol
_atom_site_fract_x
_atom_site_fract_y
_atom_site_fract_z
_atom_site_occupancy
Tl1 Tl 0.0000 0.0000 0.0000 1
B1 B 0.0000 0.5000 0.5000 1
B2 B 0.5000 0.0000 0.5000 1
B3 B 0.5000 0.5000 0.0000 1
Au1 Au 0.5000 0.5000 0.5000 1
```

Results
N(E_F): 3.68 states/eV/f.u.
Electronic total energy: -3.443 eV/atom
Crystal system: cubic

***

TlB2Au: relaxed, GGA-PBE.

Geometry as CIF:
```
data_TlB2Au
_cell_length_a 4.4402
_cell_length_b 4.4402
_cell_length_c 4.4402
_cell_angle_alpha 60.00
_cell_angle_beta 60.00
_cell_angle_gamma 60.00
_space_group_name_H-M_alt 'P 1'
_space_group_IT_number 1
loop_
_space_group_symop_operation_xyz
'x,y,z'
loop_
_atom_site_label
_atom_site_type_symbol
_atom_site_fract_x
_atom_site_fract_y
_atom_site_fract_z
_atom_site_occupancy
Tl1 Tl 0.0000 0.0000 0.0000 1
B1 B 0.2500 0.2500 0.2500 1
B2 B 0.7500 0.7500 0.7500 1
Au1 Au 0.5000 0.5000 0.5000 1
```

Results
N(E_F): 0.83 states/eV/f.u.
Electronic total energy: -3.106 eV/atom
Crystal system: cubic

***

TlB2Au: relaxed, GGA-PBE.

Geometry as CIF:
```
data_TlB2Au
_cell_length_a 7.0702
_cell_length_b 7.0702
_cell_length_c 7.0702
_cell_angle_alpha 140.23
_cell_angle_beta 140.23
_cell_angle_gamma 57.50
_space_group_name_H-M_alt 'P 1'
_space_group_IT_number 1
loop_
_space_group_symop_operation_xyz
'x,y,z'
loop_
_atom_site_label
_atom_site_type_symbol
_atom_site_fract_x
_atom_site_fract_y
_atom_site_fract_z
_atom_site_occupancy
Tl1 Tl 0.0000 0.0000 0.0000 1
Tl2 Tl 0.7500 0.2500 0.5000 1
B1 B 0.2120 0.6250 0.0870 1
B2 B 0.3750 0.4620 0.5870 1
B3 B 0.5380 0.1250 0.9130 1
B4 B 0.8750 0.7880 0.4130 1
Au1 Au 0.2500 0.7500 0.5000 1
Au2 Au 0.5000 0.5000 0.0000 1
```

Results
N(E_F): 1.75 states/eV/f.u.
Electronic total energy: -3.641 eV/atom
Crystal system: tetragonal

***

TlBAu3: relaxed, GGA-PBE.

Geometry as CIF:
```
data_TlBAu3
_cell_length_a 5.3102
_cell_length_b 5.3102
_cell_length_c 5.3102
_cell_angle_alpha 90.00
_cell_angle_beta 90.00
_cell_angle_gamma 90.00
_space_group_name_H-M_alt 'P 1'
_space_group_IT_number 1
loop_
_space_group_symop_operation_xyz
'x,y,z'
loop_
_atom_site_label
_atom_site_type_symbol
_atom_site_fract_x
_atom_site_fract_y
_atom_site_fract_z
_atom_site_occupancy
Tl1 Tl 0.0000 0.0000 0.0000 1
B1 B 0.5000 0.5000 0.5000 1
Au1 Au 0.0000 0.0000 0.5000 1
Au2 Au 0.0000 0.5000 0.0000 1
Au3 Au 0.5000 0.0000 0.0000 1
```

Results
N(E_F): 2.29 states/eV/f.u.
Electronic total energy: -2.172 eV/atom
Crystal system: cubic

***

VB2Au: relaxed, GGA-PBE.

Geometry as CIF:
```
data_VB2Au
_cell_length_a 8.2213
_cell_length_b 8.2213
_cell_length_c 8.2213
_cell_angle_alpha 154.29
_cell_angle_beta 154.29
_cell_angle_gamma 36.68
_space_group_name_H-M_alt 'P 1'
_space_group_IT_number 1
loop_
_space_group_symop_operation_xyz
'x,y,z'
loop_
_atom_site_label
_atom_site_type_symbol
_atom_site_fract_x
_atom_site_fract_y
_atom_site_fract_z
_atom_site_occupancy
V1 V 0.0000 0.0000 0.0000 1
V2 V 0.7500 0.2500 0.5000 1
B1 B 0.3750 0.1267 0.2517 1
B2 B 0.8733 0.1250 0.2483 1
B3 B 0.8750 0.1233 0.7483 1
B4 B 0.8767 0.6250 0.7517 1
Au1 Au 0.2500 0.7500 0.5000 1
Au2 Au 0.5000 0.5000 0.0000 1
```

Results
N(E_F): 3.97 states/eV/f.u.
Electronic total energy: -5.719 eV/atom
Crystal system: tetragonal

***

VBAu3: relaxed, GGA-PBE.

Geometry as CIF:
```
data_VBAu3
_cell_length_a 4.3778
_cell_length_b 4.3778
_cell_length_c 4.3778
_cell_angle_alpha 90.00
_cell_angle_beta 90.00
_cell_angle_gamma 90.00
_space_group_name_H-M_alt 'P 1'
_space_group_IT_number 1
loop_
_space_group_symop_operation_xyz
'x,y,z'
loop_
_atom_site_label
_atom_site_type_symbol
_atom_site_fract_x
_atom_site_fract_y
_atom_site_fract_z
_atom_site_occupancy
V1 V 0.0000 0.0000 0.0000 1
B1 B 0.5000 0.5000 0.5000 1
Au1 Au 0.0000 0.5000 0.5000 1
Au2 Au 0.5000 0.0000 0.5000 1
Au3 Au 0.5000 0.5000 0.0000 1
```

Results
N(E_F): 4.11 states/eV/f.u.
Electronic total energy: -4.719 eV/atom
Crystal system: cubic

***

V2BAu: relaxed, GGA-PBE.

Geometry as CIF:
```
data_V2BAu
_cell_length_a 5.2722
_cell_length_b 5.2722
_cell_length_c 5.2722
_cell_angle_alpha 102.38
_cell_angle_beta 102.38
_cell_angle_gamma 124.84
_space_group_name_H-M_alt 'P 1'
_space_group_IT_number 1
loop_
_space_group_symop_operation_xyz
'x,y,z'
loop_
_atom_site_label
_atom_site_type_symbol
_atom_site_fract_x
_atom_site_fract_y
_atom_site_fract_z
_atom_site_occupancy
V1 V 0.0594 0.6250 0.9344 1
V2 V 0.3750 0.3094 0.4344 1
V3 V 0.6906 0.1250 0.0656 1
V4 V 0.8750 0.9406 0.5656 1
B1 B 0.0000 0.0000 0.0000 1
B2 B 0.7500 0.2500 0.5000 1
Au1 Au 0.2500 0.7500 0.5000 1
Au2 Au 0.5000 0.5000 0.0000 1
```

Results
N(E_F): 4.17 states/eV/f.u.
Electronic total energy: -6.739 eV/atom
Crystal system: tetragonal

***

VBAu3: relaxed, GGA-PBE.

Geometry as CIF:
```
data_VBAu3
_cell_length_a 4.9605
_cell_length_b 4.9605
_cell_length_c 4.9605
_cell_angle_alpha 90.00
_cell_angle_beta 90.00
_cell_angle_gamma 90.00
_space_group_name_H-M_alt 'P 1'
_space_group_IT_number 1
loop_
_space_group_symop_operation_xyz
'x,y,z'
loop_
_atom_site_label
_atom_site_type_symbol
_atom_site_fract_x
_atom_site_fract_y
_atom_site_fract_z
_atom_site_occupancy
V1 V 0.0000 0.0000 0.0000 1
B1 B 0.5000 0.5000 0.5000 1
Au1 Au 0.0000 0.0000 0.5000 1
Au2 Au 0.0000 0.5000 0.0000 1
Au3 Au 0.5000 0.0000 0.0000 1
```

Results
N(E_F): 4.93 states/eV/f.u.
Electronic total energy: -3.422 eV/atom
Crystal system: cubic

***

VBAu: relaxed, GGA-PBE.

Geometry as CIF:
```
data_VBAu
_cell_length_a 7.6083
_cell_length_b 7.6083
_cell_length_c 3.0547
_cell_angle_alpha 90.00
_cell_angle_beta 90.00
_cell_angle_gamma 155.70
_space_group_name_H-M_alt 'P 1'
_space_group_IT_number 1
loop_
_space_group_symop_operation_xyz
'x,y,z'
loop_
_atom_site_label
_atom_site_type_symbol
_atom_site_fract_x
_atom_site_fract_y
_atom_site_fract_z
_atom_site_occupancy
V1 V 0.0723 0.9277 0.7500 1
V2 V 0.9277 0.0723 0.2500 1
B1 B 0.4709 0.5291 0.7500 1
B2 B 0.5291 0.4709 0.2500 1
Au1 Au 0.3115 0.6885 0.7500 1
Au2 Au 0.6885 0.3115 0.2500 1
```

Results
N(E_F): 1.13 states/eV/f.u.
Electronic total energy: -6.761 eV/atom
Crystal system: orthorhombic

***

VB2Au: relaxed, GGA-PBE.

Geometry as CIF:
```
data_VB2Au
_cell_length_a 3.9336
_cell_length_b 3.9336
_cell_length_c 3.9336
_cell_angle_alpha 60.00
_cell_angle_beta 60.00
_cell_angle_gamma 60.00
_space_group_name_H-M_alt 'P 1'
_space_group_IT_number 1
loop_
_space_group_symop_operation_xyz
'x,y,z'
loop_
_atom_site_label
_atom_site_type_symbol
_atom_site_fract_x
_atom_site_fract_y
_atom_site_fract_z
_atom_site_occupancy
V1 V 0.0000 0.0000 0.0000 1
B1 B 0.2500 0.2500 0.2500 1
B2 B 0.7500 0.7500 0.7500 1
Au1 Au 0.5000 0.5000 0.5000 1
```

Results
N(E_F): 3.76 states/eV/f.u.
Electronic total energy: -5.701 eV/atom
Crystal system: cubic

***

ZrV2BAu: relaxed, GGA-PBE.

Geometry as CIF:
```
data_ZrV2BAu
_cell_length_a 4.6938
_cell_length_b 4.6938
_cell_length_c 5.1817
_cell_angle_alpha 90.00
_cell_angle_beta 90.00
_cell_angle_gamma 90.00
_space_group_name_H-M_alt 'P 1'
_space_group_IT_number 1
loop_
_space_group_symop_operation_xyz
'x,y,z'
loop_
_atom_site_label
_atom_site_type_symbol
_atom_site_fract_x
_atom_site_fract_y
_atom_site_fract_z
_atom_site_occupancy
Zr1 Zr 0.0000 0.0000 0.0000 1
V1 V 0.0000 0.5000 0.0000 1
V2 V 0.5000 0.0000 0.0000 1
B1 B 0.5000 0.5000 0.5000 1
Au1 Au 0.0000 0.0000 0.5000 1
```

Results
N(E_F): 6.34 states/eV/f.u.
Electronic total energy: -5.024 eV/atom
Crystal system: tetragonal